# NaHfTh PBE-GGA optimized geometry
data_NaHfTh
_cell_length_a 5.3328
_cell_length_b 5.3328
_cell_length_c 9.4316
_cell_angle_alpha 90.00
_cell_angle_beta 90.00
_cell_angle_gamma 120.00
_space_group_name_H-M_alt 'P 3 m 1'
_space_group_IT_number 156
_space_group_name_Hall 'P 3 -2"'
loop_
_atom_site_label
_atom_site_fract_x
_atom_site_fract_y
_atom_site_fract_z
Na1 0.0000 0.0000 0.0000
Na2 0.0000 0.0000 0.2883
Na3 0.3333 0.6667 0.6336
Hf1 0.6667 0.3333 0.1367
Hf2 0.6667 0.3333 0.4705
Hf3 0.6667 0.3333 0.8056
Th1 0.0000 0.0000 0.6452
Th2 0.3333 0.6667 0.3040
Th3 0.3333 0.6667 0.9646
# Total magnetization in μB per atom: 0.042
# Energy in eV/atom: -5.5662
# Relative energy among the computed polymorphs in eV per atom: 0.000

***

# Ho3Mg3Tl2Zn PBE-GGA optimized geometry
data_Ho3Mg3Tl2Zn
_cell_length_a 7.4770
_cell_length_b 7.4770
_cell_length_c 4.5347
_cell_angle_alpha 90.00
_cell_angle_beta 90.00
_cell_angle_gamma 120.00
_space_group_name_H-M_alt 'P -6 2 m'
_space_group_IT_number 189
_space_group_name_Hall 'P -6 -2'
loop_
_atom_site_label
_atom_site_fract_x
_atom_site_fract_y
_atom_site_fract_z
Ho1 0.0000 0.4162 0.0000
Mg1 0.0000 0.7648 0.5000
Tl1 0.3333 0.6667 0.5000
Zn1 0.0000 0.0000 0.0000
# Total magnetization in μB per atom: 0.000
# Energy in eV/atom: -3.0182

***

Which formula does entry 2 have? Ho3Mg3Tl2Zn

***

What is the energy in the first record? -5.5662 eV/atom

***

What is the energy in the first record? -5.5662 eV/atom